Here is crystalline Er2FeGe2 at its relaxed geometry from the Alexandria database. Energies are from PBE-GGA.

```
Er2FeGe2
1.0
2.078 -7.044 0.000
2.078 7.044 0.000
0.000 0.000 7.294
Er Fe Ge
4 2 4
Cartesian
2.078 6.641 3.647
2.078 3.926 6.189
2.078 -3.926 2.542
2.078 -6.641 0.000
2.078 1.298 4.577
2.078 -1.298 0.930
2.078 4.818 1.546
2.078 0.972 2.082
2.078 -0.972 5.729
2.078 -4.818 5.193
```

Results
Calculated formation energy ... -0.517 eV/atom
Mass density ... 8.33 g/cm³
Total magnetization ... 2.63 μB per cell
Density of states at the Fermi level ... 0.997 states/eV/atom
Total energy ... -5.8816 eV per atom